The following is a DFT calculation (PBE-GGA) of crystalline Cs3Te2Se2 at its relaxed geometry.

Computed properties:
uncorrected energy	-21.4	eV/f.u.
energy relative to the elements, uncorrected	-0.80	eV per atom

Cell and atoms, written as CIF:
```
data_Cs3Te2Se2
_chemical_formula_sum 'Cs3 Te2 Se2'
_symmetry_space_group_name_H-M 'P 1'
_symmetry_Int_Tables_number 1
_cell_length_a 5.210
_cell_length_b 7.318
_cell_length_c 10.443
_cell_angle_alpha 85.24
_cell_angle_beta 82.07
_cell_angle_gamma 60.22
loop_
_symmetry_equiv_pos_as_xyz
'x,y,z'
loop_
_atom_site_label
_atom_site_fract_x
_atom_site_fract_y
_atom_site_fract_z
Cs1 0.000 0.000 0.000
Cs2 0.696 0.524 0.306
Cs3 0.304 0.476 0.694
Te1 0.217 0.020 0.561
Te2 0.783 0.980 0.439
Se1 0.749 0.553 0.968
Se2 0.251 0.447 0.032
```